Entry 1:
VASP calculation (PBE-GGA) on a geometry-optimized Tb4CeHoEr2 structure.

- SG: P2/m (10)
- Energy: -37.830 eV per formula unit
- Calculated density: 8.47 g cm⁻³
- Crystal system: monoclinic

Cell: 6.1209 3.5330 11.7350 Å, 90.00 99.96 90.00°
Closest atoms and distances in Å follow each position.
Fractional positions:
Tb 0.2467 0.0000 0.2492  6 Tb 3.51-3.56, 2 Ce 3.52, 1 Ho 3.53, 3 Er 3.54-3.55
Tb 0.2480 0.5000 0.7504  6 Tb 3.51-3.56, 1 Ce 3.52, 2 Ho 3.54, 3 Er 3.54-3.55
Tb 0.7520 0.5000 0.2496  6 Tb 3.51-3.56, 1 Ce 3.52, 2 Ho 3.54, 3 Er 3.54-3.55
Tb 0.7533 0.0000 0.7508  6 Tb 3.51-3.56, 2 Ce 3.52, 1 Ho 3.53, 3 Er 3.54-3.55
Ce 0.0000 0.5000 0.0000  6 Tb 3.52, 2 Ce 3.53, 4 Er 3.53
Ho 0.0000 0.0000 0.5000  2 Ho 3.53, 6 Tb 3.53-3.54, 4 Er 3.53
Er 0.5000 0.0000 0.0000  2 Er 3.53, 4 Ce 3.53, 6 Tb 3.54
Er 0.5000 0.5000 0.5000  2 Er 3.53, 4 Ho 3.53, 6 Tb 3.55

Entry 2:
VASP calculation (PBE-GGA) on a geometry-optimized TbCeHo5Er2 structure.

- SG: Cmc2_1 (36)
- Energy: -41.016 eV per formula unit
- Calculated density: 8.44 g cm⁻³
- Crystal system: orthorhombic

Cell: 11.0358 11.0358 9.5096 Å, 90.00 90.00 150.31°
Closest atoms and distances in Å follow each position.
Fractional positions:
Tb 0.0968 0.9032 0.5000  3 Ho 3.04-3.37
Tb 0.9032 0.0968 0.0000  3 Ho 3.04-3.37
Ce 0.3081 0.6919 0.0952  2 Er 3.24-3.32, 5 Ho 3.36-3.46, 2 Tb 3.60
Ce 0.6919 0.3081 0.5952  2 Er 3.24-3.32, 5 Ho 3.36-3.46, 2 Tb 3.60
Ho 0.0290 0.9710 0.8205  2 Tb 3.18-3.37, 3 Ho 3.26-3.53, 2 Er 3.43
Ho 0.1059 0.8941 0.1169  2 Ho 3.26-3.47, 4 Er 3.28-3.52, 1 Tb 3.65
Ho 0.1940 0.8060 0.7876  2 Ce 3.37, 5 Ho 3.42-3.72, 1 Tb 3.43, 3 Er 3.47-3.68
Ho 0.2330 0.7670 0.4058  1 Tb 3.04, 1 Er 3.28, 1 Ce 3.36
Ho 0.4864 0.5136 0.0871  3 Er 3.26-3.64, 2 Tb 3.44, 2 Ho 3.61
Ho 0.5136 0.4864 0.5871  3 Er 3.26-3.64, 2 Tb 3.44, 2 Ho 3.61
Ho 0.7670 0.2330 0.9058  1 Tb 3.04, 1 Er 3.28, 1 Ce 3.36
Ho 0.8060 0.1940 0.2876  2 Ce 3.37, 5 Ho 3.42-3.72, 1 Tb 3.43, 3 Er 3.47-3.68
Ho 0.8941 0.1059 0.6169  2 Ho 3.26-3.47, 4 Er 3.28-3.52, 1 Tb 3.65
Ho 0.9710 0.0290 0.3205  2 Tb 3.18-3.37, 3 Ho 3.26-3.53, 2 Er 3.43
Er 0.3663 0.6337 0.7809  1 Ce 3.24, 2 Ho 3.28, 2 Tb 3.60
Er 0.3865 0.6135 0.3963  9 Ho 3.26-3.63, 1 Ce 3.32
Er 0.6135 0.3865 0.8963  9 Ho 3.26-3.63, 1 Ce 3.32
Er 0.6337 0.3663 0.2809  1 Ce 3.24, 2 Ho 3.28, 2 Tb 3.60

Entry 3:
VASP calculation (PBE-GGA) on a geometry-optimized Tb6CeHo2Er3 structure.

- SG: C2/m (12)
- Energy: -56.122 eV per formula unit
- Calculated density: 8.50 g cm⁻³
- Crystal system: monoclinic

Cell: 6.1303 6.1303 11.7336 Å, 95.00 95.00 119.98°
Closest atoms and distances in Å follow each position.
Fractional positions:
Tb 0.0838 0.4153 0.7506  6 Tb 3.52-3.55, 3 Er 3.53-3.54, 1 Ce 3.54, 2 Ho 3.55
Tb 0.2478 0.2478 0.2492  6 Tb 3.52-3.55, 3 Er 3.53-3.54, 1 Ce 3.54, 2 Ho 3.55
Tb 0.4153 0.0838 0.7506  6 Tb 3.52-3.55, 3 Er 3.53-3.54, 1 Ce 3.54, 2 Ho 3.55
Tb 0.5847 0.9162 0.2494  6 Tb 3.52-3.55, 3 Er 3.53-3.54, 1 Ce 3.54, 2 Ho 3.55
Tb 0.7522 0.7522 0.7508  6 Tb 3.52-3.55, 3 Er 3.53-3.54, 1 Ce 3.54, 2 Ho 3.55
Tb 0.9162 0.5847 0.2494  6 Tb 3.52-3.55, 3 Er 3.53-3.54, 1 Ce 3.54, 2 Ho 3.55
Ce 0.0000 0.0000 0.5000  6 Tb 3.54, 6 Ho 3.54
Ho 0.3334 0.6666 0.5000  3 Ho 3.54, 3 Ce 3.54, 6 Tb 3.55
Ho 0.6666 0.3334 0.5000  3 Ho 3.54, 3 Ce 3.54, 6 Tb 3.55
Er 0.1673 0.8327 0.0000  6 Tb 3.53-3.54, 6 Er 3.53-3.55
Er 0.5000 0.5000 0.0000  6 Tb 3.53-3.54, 6 Er 3.53-3.54
Er 0.8327 0.1673 0.0000  6 Tb 3.53-3.54, 6 Er 3.53-3.55

Entry 4:
VASP calculation (PBE-GGA) on a geometry-optimized Tb6CeHo2Er structure.

- SG: C2/m (12)
- Energy: -44.917 eV per formula unit
- Calculated density: 8.09 g cm⁻³
- Crystal system: monoclinic

Cell: 6.6146 6.6146 8.9222 Å, 104.94 104.94 61.31°
Closest atoms and distances in Å follow each position.
Fractional positions:
Tb 0.0906 0.5729 0.1974  2 Ho 3.21-3.42, 1 Er 3.24, 3 Tb 3.25-3.49, 1 Ce 3.44
Tb 0.1307 0.1307 0.4195  1 Ce 3.59, 7 Tb 3.67-3.81, 2 Er 3.84, 2 Ho 3.97
Tb 0.4271 0.9094 0.8026  2 Ho 3.21-3.42, 1 Er 3.24, 3 Tb 3.25-3.49, 1 Ce 3.44
Tb 0.5729 0.0906 0.1974  2 Ho 3.21-3.42, 1 Er 3.24, 3 Tb 3.25-3.49, 1 Ce 3.44
Tb 0.8693 0.8693 0.5805  1 Ce 3.59, 7 Tb 3.67-3.81, 2 Er 3.84, 2 Ho 3.97
Tb 0.9094 0.4271 0.8026  2 Ho 3.21-3.42, 1 Er 3.24, 3 Tb 3.25-3.49, 1 Ce 3.44
Ce 0.0000 0.0000 0.0000  6 Tb 3.44-3.59, 4 Ho 3.73
Ho 0.4097 0.4097 0.8250  1 Ho 3.18, 4 Tb 3.21-3.42, 1 Er 3.35
Ho 0.5903 0.5903 0.1750  1 Ho 3.18, 4 Tb 3.21-3.42, 1 Er 3.35
Er 0.5000 0.5000 0.5000  4 Tb 3.24, 2 Ho 3.35

Entry 5:
VASP calculation (PBE-GGA) on a geometry-optimized Ce3HoEr2Te6 structure.

- SG: C2/m (12)
- Raw formation energy: -1311 meV/atom
- Calculated density: 7.71 g cm⁻³
- Crystal system: monoclinic

Cell: 7.5467 7.5467 7.7881 Å, 99.29 99.29 120.10°
Closest atoms and distances in Å follow each position.
Fractional positions:
Ce 0.0000 0.0000 0.0000  6 Te 3.17-3.18
Ce 0.3340 0.6660 0.0000  6 Te 3.18
Ce 0.6660 0.3340 0.0000  6 Te 3.18
Ho 0.5000 0.5000 0.5000  6 Te 3.06
Er 0.1667 0.8333 0.5000  6 Te 3.05
Er 0.8333 0.1667 0.5000  6 Te 3.05
Te 0.0869 0.4213 0.2638  2 Er 3.05, 1 Ho 3.06, 3 Ce 3.18
Te 0.2442 0.2442 0.7356  2 Er 3.05, 1 Ho 3.06, 3 Ce 3.17-3.18
Te 0.4213 0.0869 0.2638  2 Er 3.05, 1 Ho 3.06, 3 Ce 3.18
Te 0.5787 0.9131 0.7362  2 Er 3.05, 1 Ho 3.06, 3 Ce 3.18
Te 0.7558 0.7558 0.2644  2 Er 3.05, 1 Ho 3.06, 3 Ce 3.17-3.18
Te 0.9131 0.5787 0.7362  2 Er 3.05, 1 Ho 3.06, 3 Ce 3.18

Entry 6:
VASP calculation (PBE-GGA) on a geometry-optimized Ce4HoEr3Te8 structure.

- SG: R-3m (166)
- Raw formation energy: -1309 meV/atom
- Calculated density: 7.71 g cm⁻³
- Crystal system: trigonal

Cell: 8.9166 8.9166 8.9166 Å, 58.50 58.50 58.50°
Closest atoms and distances in Å follow each position.
Fractional positions:
Ce 0.0000 0.0000 0.0000  6 Te 3.17
Ce 0.0000 0.5000 0.5000  6 Te 3.18
Ce 0.5000 0.0000 0.5000  6 Te 3.18
Ce 0.5000 0.5000 0.0000  6 Te 3.18
Ho 0.5000 0.5000 0.5000  6 Te 3.06
Er 0.0000 0.0000 0.5000  6 Te 3.05
Er 0.0000 0.5000 0.0000  6 Te 3.05
Er 0.5000 0.0000 0.0000  6 Te 3.05
Te 0.2451 0.2451 0.2451  3 Er 3.05, 3 Ce 3.18
Te 0.2445 0.7457 0.7457  2 Er 3.05, 1 Ho 3.06, 3 Ce 3.17-3.18
Te 0.2543 0.2543 0.7555  2 Er 3.05, 1 Ho 3.06, 3 Ce 3.17-3.18
Te 0.2543 0.7555 0.2543  2 Er 3.05, 1 Ho 3.06, 3 Ce 3.17-3.18
Te 0.7457 0.2445 0.7457  2 Er 3.05, 1 Ho 3.06, 3 Ce 3.17-3.18
Te 0.7457 0.7457 0.2445  2 Er 3.05, 1 Ho 3.06, 3 Ce 3.17-3.18
Te 0.7555 0.2543 0.2543  2 Er 3.05, 1 Ho 3.06, 3 Ce 3.17-3.18
Te 0.7549 0.7549 0.7549  3 Er 3.05, 3 Ce 3.18

Entry 7:
VASP calculation (PBE-GGA) on a geometry-optimized Ce3HoEr3Te8 structure.

- SG: R-3m (166)
- Raw formation energy: -1358 meV/atom
- Calculated density: 7.30 g cm⁻³
- Crystal system: trigonal

Cell: 8.8299 8.8299 8.8299 Å, 59.32 59.32 59.32°
Closest atoms and distances in Å follow each position.
Fractional positions:
Ce 0.0000 0.5000 0.5000  6 Te 3.16-3.17
Ce 0.5000 0.0000 0.5000  6 Te 3.16-3.17
Ce 0.5000 0.5000 0.0000  6 Te 3.16-3.17
Ho 0.5000 0.5000 0.5000  6 Te 3.13
Er 0.0000 0.0000 0.5000  6 Te 3.05
Er 0.0000 0.5000 0.0000  6 Te 3.05
Er 0.5000 0.0000 0.0000  6 Te 3.05
Te 0.2386 0.7518 0.7518  2 Er 3.05, 1 Ho 3.13, 2 Ce 3.17
Te 0.2455 0.2455 0.2455  3 Er 3.05, 3 Ce 3.16
Te 0.2482 0.2482 0.7614  2 Er 3.05, 1 Ho 3.13, 2 Ce 3.17
Te 0.2482 0.7614 0.2482  2 Er 3.05, 1 Ho 3.13, 2 Ce 3.17
Te 0.7518 0.2386 0.7518  2 Er 3.05, 1 Ho 3.13, 2 Ce 3.17
Te 0.7518 0.7518 0.2386  2 Er 3.05, 1 Ho 3.13, 2 Ce 3.17
Te 0.7545 0.7545 0.7545  3 Er 3.05, 3 Ce 3.16
Te 0.7614 0.2482 0.2482  2 Er 3.05, 1 Ho 3.13, 2 Ce 3.17

Entry 8:
VASP calculation (PBE-GGA) on a geometry-optimized Ce3Ho2ErTe6 structure.

- SG: C2/m (12)
- Raw formation energy: -1316 meV/atom
- Calculated density: 7.68 g cm⁻³
- Crystal system: monoclinic

Cell: 7.5600 7.5600 7.7778 Å, 99.31 99.31 120.10°
Closest atoms and distances in Å follow each position.
Fractional positions:
Ce 0.0000 0.0000 0.0000  6 Te 3.18
Ce 0.3326 0.6674 0.0000  6 Te 3.18
Ce 0.6674 0.3326 0.0000  6 Te 3.18
Ho 0.1665 0.8335 0.5000  6 Te 3.06-3.07
Ho 0.8335 0.1665 0.5000  6 Te 3.06-3.07
Er 0.5000 0.5000 0.5000  6 Te 3.05-3.06
Te 0.0889 0.4213 0.2637  1 Er 3.05, 2 Ho 3.06-3.07, 3 Ce 3.18
Te 0.2468 0.2468 0.7371  1 Er 3.06, 2 Ho 3.07, 3 Ce 3.18
Te 0.4213 0.0889 0.2637  1 Er 3.05, 2 Ho 3.06-3.07, 3 Ce 3.18
Te 0.5787 0.9111 0.7363  1 Er 3.05, 2 Ho 3.06-3.07, 3 Ce 3.18
Te 0.7532 0.7532 0.2629  1 Er 3.06, 2 Ho 3.07, 3 Ce 3.18
Te 0.9111 0.5787 0.7363  1 Er 3.05, 2 Ho 3.06-3.07, 3 Ce 3.18

Entry 9:
VASP calculation (PBE-GGA) on a geometry-optimized Ce2HoEr3Te6 structure.

- SG: C2/m (12)
- Raw formation energy: -1279 meV/atom
- Calculated density: 7.98 g cm⁻³
- Crystal system: monoclinic

Cell: 9.8295 9.8295 8.8538 Å, 104.09 104.09 25.47°
Closest atoms and distances in Å follow each position.
Fractional positions:
Ce 0.1679 0.1679 0.3360  6 Te 3.15-3.19
Ce 0.8321 0.8321 0.6640  6 Te 3.15-3.19
Ho 0.5000 0.5000 0.0000  6 Te 3.08-3.10
Er 0.1692 0.1692 0.8340  6 Te 3.03-3.07
Er 0.5000 0.5000 0.5000  6 Te 3.02-3.09
Er 0.8308 0.8308 0.1660  6 Te 3.03-3.07
Te 0.0038 0.0038 0.7512  3 Er 3.07-3.09, 2 Ho 3.10, 1 Ce 3.19
Te 0.3344 0.3344 0.9264  3 Er 3.04-3.07, 1 Ho 3.08, 2 Ce 3.17
Te 0.3372 0.3372 0.4084  3 Er 3.02-3.03, 3 Ce 3.15
Te 0.6628 0.6628 0.5916  3 Er 3.02-3.03, 3 Ce 3.15
Te 0.6656 0.6656 0.0736  3 Er 3.04-3.07, 1 Ho 3.08, 2 Ce 3.17
Te 0.9962 0.9962 0.2488  3 Er 3.07-3.09, 2 Ho 3.10, 1 Ce 3.19

Entry 10:
VASP calculation (PBE-GGA) on a geometry-optimized Ce2Ho3Er6Th structure.

- SG: C2/m (12)
- Energy: -59.901 eV per formula unit
- Calculated density: 9.11 g cm⁻³
- Crystal system: monoclinic

Cell: 6.0825 6.0825 11.6147 Å, 95.01 95.01 119.99°
Closest atoms and distances in Å follow each position.
Fractional positions:
Ce 0.1667 0.8333 0.0000  6 Er 3.48-3.49, 3 Th 3.51, 3 Ce 3.51
Ce 0.8333 0.1667 0.0000  6 Er 3.48-3.49, 3 Th 3.51, 3 Ce 3.51
Ho 0.0000 0.0000 0.5000  6 Ho 3.51, 6 Er 3.52-3.53
Ho 0.3333 0.6667 0.5000  6 Ho 3.51, 6 Er 3.52-3.53
Ho 0.6667 0.3333 0.5000  6 Ho 3.51, 6 Er 3.52-3.53
Er 0.0842 0.4166 0.7523  1 Th 3.48, 2 Ce 3.48-3.49, 6 Er 3.50-3.52, 3 Ho 3.52-3.53
Er 0.2511 0.2511 0.2476  1 Th 3.48, 2 Ce 3.49, 6 Er 3.50-3.52, 3 Ho 3.52-3.53
Er 0.4166 0.0842 0.7523  1 Th 3.48, 2 Ce 3.48-3.49, 6 Er 3.50-3.52, 3 Ho 3.52-3.53
Er 0.5834 0.9158 0.2477  1 Th 3.48, 2 Ce 3.48-3.49, 6 Er 3.50-3.52, 3 Ho 3.52-3.53
Er 0.7489 0.7489 0.7524  1 Th 3.48, 2 Ce 3.49, 6 Er 3.50-3.52, 3 Ho 3.52-3.53
Er 0.9158 0.5834 0.2477  1 Th 3.48, 2 Ce 3.48-3.49, 6 Er 3.50-3.52, 3 Ho 3.52-3.53
Th 0.5000 0.5000 0.0000  6 Er 3.48, 6 Ce 3.51